Entry 1:
The following is a PBE calculation of a relaxed structure of Cr3HgH, from Alexandria.

Values from the calculation:
Crystal system = cubic
Calculated volume = 56.4 Å³/cell
Calculated total energy = -30.38 eV/cell

Cell and atoms, written as extended XYZ:
```
5
Lattice="3.8351 0.0000 0.0000 0.0000 3.8351 0.0000 0.0000 0.0000 3.8351" Properties=species:S:1:pos:R:3 pbc="T T T"
H 0.0000 0.0000 0.0000
Cr 0.0000 0.0000 1.9175
Cr 1.9175 0.0000 0.0000
Cr 0.0000 1.9175 0.0000
Hg 1.9175 1.9175 1.9175
```

---

Entry 2:
The following is a PBE calculation of a relaxed structure of BaU2GeS8, from Alexandria.

Values from the calculation:
E_form (uncorrected) = -1.011 eV per atom
Crystal system = monoclinic
Calculated volume = 327.3 Å³/cell

Cell and atoms, written as extended XYZ:
```
12
Lattice="-0.3169 5.8722 2.6754 -5.5827 1.1677 -2.2610 -3.4314 -3.2744 6.7808" Properties=species:S:1:pos:R:3 pbc="T T T"
U -5.5470 1.0416 5.3395
U -3.7840 2.7238 1.8557
S -3.4168 0.9765 3.7919
S -1.6526 2.4459 0.3449
S -7.6785 1.3196 6.8503
S -4.8498 1.1503 0.2659
S -5.9142 2.7890 3.4033
S -4.4812 2.6152 6.9293
S -2.5206 4.4858 3.0552
S -6.8104 -0.7203 4.1400
Ba -1.7157 -1.6372 3.3904
Ge 0.0000 0.0000 0.0000
```

---

Entry 3:
The following is a PBE calculation of a relaxed structure of KLiCd2, from Alexandria.

Values from the calculation:
Crystal system = tetragonal
Calculated volume = 299.7 Å³/cell
Calculated total energy = -9.30 eV/cell

Cell and atoms, written as extended XYZ:
```
8
Lattice="-1.0045 -3.4316 -4.2105 0.1370 -4.2966 3.4690 -10.0876 -2.9282 1.1696" Properties=species:S:1:pos:R:3 pbc="T T T"
Li -0.4337 -3.8641 -0.3708
Li -5.1922 -5.5444 2.1339
Cd -2.9334 -2.7334 -1.0707
Cd -2.7610 -4.5268 1.0993
Cd -7.8639 -5.9461 1.2870
Cd -8.3519 -8.1064 -0.4595
K 0.0000 0.0000 0.0000
K -5.7629 -5.1119 -1.7058
```